LiGdCdAg | Alexandria | PBE-GGA | optimized geometry; space-group type = F-43m; V = 89.9 Å³/cell; total energy = -20.59 eV/cell; energy relative to the elements = -0.208 eV/atom
1.0
0.0000 3.5556 3.5556
3.5556 0.0000 3.5556
3.5556 3.5556 0.0000
Li Gd Cd Ag
1 1 1 1
Direct
0.0000 0.0000 0.0000 Li
0.5000 0.5000 0.5000 Gd
0.2500 0.2500 0.2500 Cd
0.7500 0.7500 0.7500 Ag